(1)
Cs2NbPbI6: optimized geometry, PBE.

Cell: 8.666 8.666 8.665 Å, 60.00 60.00 90.00°
Element x y z (fractional)
I 0.261 0.739 0.000
I 0.739 0.739 0.523
I 0.261 0.261 0.477
I 0.739 0.261 0.000
I 0.739 0.739 0.000
I 0.261 0.261 0.000
Nb 0.500 0.500 0.000
Cs 0.750 0.250 0.500
Cs 0.250 0.750 0.500
Pb 0.000 0.000 0.000

Calculated values
formation energy without anion corrections	-0.81	eV/atom


(2)
KLaRuO6: optimized geometry, PBE.

Cell: 5.782 5.782 5.695 Å, 90.00 90.00 60.00°
Element x y z (fractional)
O 0.344 0.596 0.311
O 0.596 0.344 0.689
O 0.344 0.060 0.689
O 0.060 0.596 0.689
O 0.060 0.344 0.311
O 0.596 0.060 0.311
La 0.667 0.667 0.500
K 0.000 0.000 0.000
Ru 0.333 0.333 0.500

Calculated values
formation energy without anion corrections	-1.52	eV/atom


(3)
Ti2BiSbAs: optimized geometry, PBE.

Cell: 5.143 5.811 5.143 Å, 90.00 90.00 90.00°
Element x y z (fractional)
As 0.500 0.500 0.500
Bi 0.000 0.500 0.000
Sb 0.000 0.000 0.000
Ti 0.000 0.000 0.500
Ti 0.500 0.000 0.000

Calculated values
formation energy without anion corrections	0.93	eV/atom


(4)
TbMg2SbO6: optimized geometry, PBE.

Cell: 5.379 5.379 5.749 Å, 62.11 62.11 60.00°
Element x y z (fractional)
O 0.710 0.140 0.764
O 0.935 0.594 0.241
O 0.386 0.709 0.764
O 0.230 0.935 0.241
O 0.140 0.386 0.764
O 0.594 0.230 0.241
Sb 0.319 0.319 0.043
Tb 0.804 0.804 0.587
Mg 0.018 0.018 0.947
Mg 0.526 0.526 0.423

Calculated values
formation energy without anion corrections	-2.50	eV/atom


(5)
K3CeBi3S8: optimized geometry, PBE.

Cell: 8.238 8.240 8.928 Å, 117.51 90.00 119.99°
Element x y z (fractional)
Ce 0.000 0.000 0.500
S 0.263 0.526 0.290
S 0.772 0.544 0.300
S 0.228 0.456 0.700
S 0.737 0.474 0.710
S 0.256 0.028 0.300
S 0.772 0.028 0.300
S 0.744 0.972 0.700
S 0.228 0.972 0.700
Bi 0.000 0.500 0.500
Bi 0.500 0.500 0.500
Bi 0.500 0.000 0.500
K 0.000 0.500 0.000
K 0.500 0.500 0.000
K 0.000 0.000 0.000

Calculated values
formation energy without anion corrections	-1.00	eV/atom


(6)
Pu2H8Rh3: optimized geometry, PBE.

Cell: 5.003 5.716 5.617 Å, 120.59 109.34 90.00°
Element x y z (fractional)
Pu 0.319 0.317 0.633
Pu 0.681 0.683 0.367
H 0.376 0.300 0.218
H 0.876 0.108 0.215
H 0.124 0.892 0.785
H 0.109 0.625 0.251
H 0.624 0.700 0.782
H 0.376 0.918 0.218
H 0.624 0.082 0.782
H 0.891 0.375 0.749
Rh 0.000 0.747 0.000
Rh 0.000 0.253 0.000
Rh 0.500 0.000 0.000


These records have magnetization values of 3.00 0.00 3.64 0.00 0.00 10.69 Bohr magnetons per cell, in the order they appear.
These records have E values of -0.2419 -0.4795 -0.3499 -0.4905 -0.3378 -0.4574 Ry per atom, in the order they appear.